No. 1
Compound: ScSi2Mo
Source: the Alexandria database
Functional: GGA-PBE
Structure: relaxed

Calculated values
- Raw formation energy: -0.234 eV/atom

Structure (POSCAR):
```
ScSi2Mo
1.0
3.799 0.000 0.000
0.000 3.799 0.000
0.000 0.000 8.612
Sc Si Mo
2 4 2
direct
0.000 0.000 0.000
0.500 0.500 0.500
0.000 0.000 0.500
0.000 0.500 0.750
0.500 0.000 0.250
0.500 0.500 0.000
0.000 0.500 0.250
0.500 0.000 0.750
```

No. 2
Compound: CdRh4
Source: the Alexandria database
Functional: GGA-PBE
Structure: relaxed

Calculated values
- Formation enthalpy at 0 K: 1943 meV per atom

Structure (POSCAR):
```
CdRh4
1.0
4.809 0.000 0.000
0.000 4.809 0.000
0.000 0.000 4.809
Cd Rh
1 4
direct
0.000 0.000 0.000
0.000 0.000 0.500
0.000 0.500 0.000
0.500 0.000 0.000
0.500 0.500 0.500
```

No. 3
Compound: AuSeIN2
Source: the Alexandria database
Functional: GGA-PBE
Structure: relaxed

Calculated values
- Raw formation energy: 1.635 eV/atom

Structure (POSCAR):
```
AuSeIN2
1.0
4.057 0.000 0.000
0.000 4.057 0.000
0.000 0.000 7.937
Au Se I N
1 1 1 2
direct
0.000 0.000 0.000
0.000 0.000 0.500
0.500 0.500 0.500
0.000 0.500 0.000
0.500 0.000 0.000
```

No. 4
Compound: AlReNi2
Source: the Alexandria database
Functional: GGA-PBE
Structure: relaxed

Calculated values
- Formation enthalpy at 0 K: -127 meV per atom

Structure (POSCAR):
```
AlReNi2
1.0
8.493 0.000 0.000
0.000 2.646 0.000
-0.719 0.000 4.558
Al Re Ni
2 2 4
direct
0.000 0.000 0.000
0.500 0.500 0.000
0.000 0.500 0.500
0.500 0.000 0.500
0.249 0.500 0.256
0.251 0.000 0.744
0.749 0.000 0.256
0.751 0.500 0.744
```

No. 5
Compound: KNi
Source: the Alexandria database
Functional: GGA-PBE
Structure: relaxed

Calculated values
- Formation enthalpy at 0 K: 1132 meV per atom

Structure (POSCAR):
```
KNi
1.0
6.064 0.000 0.000
0.000 6.064 0.000
0.000 0.000 6.064
K Ni
4 4
direct
0.092 0.408 0.592
0.408 0.592 0.092
0.592 0.092 0.408
0.908 0.908 0.908
0.106 0.894 0.394
0.394 0.106 0.894
0.606 0.606 0.606
0.894 0.394 0.106
```

No. 6
Compound: NdDy5Se6
Source: the Alexandria database
Functional: GGA-PBE
Structure: relaxed

Calculated values
- Raw formation energy: -1.765 eV/atom

Structure (POSCAR):
```
NdDy5Se6
1.0
3.539 -6.160 0.000
3.539 6.160 0.000
-2.365 0.000 6.711
Nd Dy Se
1 5 6
direct
0.000 0.000 0.000
0.160 0.840 0.500
0.335 0.665 0.000
0.500 0.500 0.500
0.665 0.335 0.000
0.840 0.160 0.500
0.085 0.428 0.256
0.259 0.259 0.749
0.428 0.085 0.256
0.572 0.915 0.744
0.741 0.741 0.251
0.915 0.572 0.744
```

No. 7
Compound: MgBeRh2
Source: the Alexandria database
Functional: GGA-PBE
Structure: relaxed

Calculated values
- Formation enthalpy at 0 K: -121 meV per atom

Structure (POSCAR):
```
MgBeRh2
1.0
6.039 0.000 0.000
0.000 6.039 0.000
0.000 0.000 6.039
Mg Be Rh
4 4 8
direct
0.000 0.000 0.000
0.000 0.500 0.500
0.500 0.000 0.500
0.500 0.500 0.000
0.250 0.250 0.750
0.250 0.750 0.250
0.750 0.250 0.250
0.750 0.750 0.750
0.000 0.000 0.500
0.000 0.500 0.000
0.250 0.250 0.250
0.250 0.750 0.750
0.500 0.000 0.000
0.500 0.500 0.500
0.750 0.250 0.750
0.750 0.750 0.250
```

No. 8
Compound: PmMg3Ni
Source: the Alexandria database
Functional: GGA-PBE
Structure: relaxed

Calculated values
- Formation enthalpy at 0 K: -65 meV per atom

Structure (POSCAR):
```
PmMg3Ni
1.0
4.553 0.000 0.000
0.000 4.725 0.000
0.000 0.000 10.768
Pm Mg Ni
2 6 2
direct
0.000 0.000 0.000
0.000 0.500 0.500
0.000 0.000 0.712
0.000 0.500 0.212
0.500 0.000 0.236
0.500 0.000 0.508
0.500 0.500 0.008
0.500 0.500 0.736
0.000 0.000 0.360
0.000 0.500 0.860
```

Computed total moment (μB/f.u.) in order:
0.005; 4.714; 3.494; 0.000; 0.678; 0.000; 1.224; 0.000